# HgRuN2F PBE relaxed
# total moment = 0.00 μB per cell
# crystal system = tetragonal
# formation energy (no corrections) = 0.46 eV per atom
# energy above the most stable polymorph in this dataset = 0.000 eV/atom
# total energy = -5.16 eV/atom
data_HgRuN2F
_chemical_formula_sum 'Hg1 Ru1 N2 F1'
_cell_length_a 3.880
_cell_length_b 3.880
_cell_length_c 4.352
_cell_angle_alpha 90.00
_cell_angle_beta 90.00
_cell_angle_gamma 90.00
_symmetry_space_group_name_H-M 'P 4/m m m'
_symmetry_Int_Tables_number 123
_symmetry_space_group_name_Hall '-P 4 2'
loop_
_atom_site_label
_atom_site_fract_x
_atom_site_fract_y
_atom_site_fract_z
Hg1 0.000 0.000 0.000
Ru1 0.500 0.500 0.500
N1 0.000 0.500 0.500
F1 0.500 0.500 0.000